Zr3NbRe: optimized geometry, PBE-GGA.

Geometry as CIF:
```
data_Zr3NbRe
_chemical_formula_sum 'Zr3 Nb1 Re1'
_cell_length_a 4.933
_cell_length_b 4.933
_cell_length_c 4.933
_cell_angle_alpha 90.00
_cell_angle_beta 90.00
_cell_angle_gamma 90.00
_symmetry_space_group_name_H-M 'P m -3 m'
_symmetry_Int_Tables_number 221
_symmetry_space_group_name_Hall '-P 4 2 3'
loop_
_atom_site_label
_atom_site_fract_x
_atom_site_fract_y
_atom_site_fract_z
Zr1 0.000 0.000 0.500
Nb1 0.000 0.000 0.000
Re1 0.500 0.500 0.500
```

Calculated values
calculated volume = 120.0 Å³/f.u.
calculated formation energy = 1.488 eV per atom